1.
The following is a PBE calculation of a relaxed PtI3N crystal, from the Alexandria database.

Properties
E_form (uncorrected), eV per atom: 1.45
Total moment, μB per formula unit: 0.5

a = 4.935 Å, b = 4.935 Å, c = 4.935 Å
α = 90.00°, β = 90.00°, γ = 90.00°
Element x y z (fractional)
1 Pt 0.000 0.000 0.000
2 I 0.000 0.500 0.500
3 I 0.500 0.000 0.500
4 I 0.500 0.500 0.000
5 N 0.500 0.500 0.500



2.
The following is a PBE calculation of a relaxed BiRuNCl2 crystal, from the Alexandria database.

Properties
E_form (uncorrected), eV per atom: 1.13
Total moment, μB per formula unit: 1.1

a = 4.447 Å, b = 4.447 Å, c = 5.866 Å
α = 90.00°, β = 90.00°, γ = 90.00°
Element x y z (fractional)
1 Bi 0.000 0.000 0.000
2 Ru 0.000 0.000 0.500
3 N 0.500 0.500 0.000
4 Cl 0.000 0.500 0.500
5 Cl 0.500 0.000 0.500